(1)
Ce2CuAs3 | PBE-GGA | relaxed

Summary:
DFT formation energy = -590 kJ/mol of formula units
crystal system = orthorhombic
total magnetization = 0.3 μB per formula unit
ρ = 7.1 g/cm³

abc: 8.048 4.143 16.014
angles: 90.00 90.00 90.00
Space group Pnma (No. 62)
One atom of each set of equivalent atoms:
Ce 0.107 0.250 0.218
Ce 0.247 0.750 0.466
Cu 0.114 0.250 0.635
As 0.020 0.250 0.401
As 0.112 0.750 0.074
As 0.165 0.250 0.784

(2)
Ce2CuAs3Ir4 | PBE-GGA | relaxed

Summary:
DFT formation energy = -666 kJ/mol of formula units
crystal system = tetragonal
total magnetization = 0.1 μB per formula unit
ρ = 12.4 g/cm³

abc: 4.144 4.144 10.469
angles: 90.00 90.00 90.00
Space group P-4m2 (No. 115)
One atom of each set of equivalent atoms:
Ce 0.000 0.500 0.243
Cu 0.500 0.500 0.000
As 0.000 0.000 0.000
As 0.000 0.500 0.636
Ir 0.000 0.000 0.500
Ir 0.000 0.500 0.864
Ir 0.500 0.500 0.500

(3)
CeCuAsN | PBE-GGA | relaxed

Summary:
crystal system = tetragonal
raw formation energy = -3.6 eV/f.u.
total magnetization = 0.0 μB per formula unit
ρ = 7.2 g/cm³

abc: 4.043 4.043 8.226
angles: 90.00 90.00 90.00
Space group P4/nmm (No. 129, origin choice 2)
One atom of each set of equivalent atoms:
Ce 0.250 0.250 0.133
Cu 0.250 0.750 0.500
As 0.250 0.250 0.667
N 0.250 0.750 0.000

(4)
Ce2CuNi3As4 | PBE-GGA | relaxed

Summary:
DFT formation energy = -758 kJ/mol of formula units
crystal system = tetragonal
total magnetization = 1.1 μB per formula unit
ρ = 8.0 g/cm³

abc: 4.247 4.247 9.385
angles: 90.00 90.00 90.00
Space group P-4m2 (No. 115)
One atom of each set of equivalent atoms:
Ce 0.000 0.500 0.250
Cu 0.000 0.000 0.500
Ni 0.000 0.500 0.885
Ni 0.500 0.500 0.500
As 0.000 0.000 0.000
As 0.000 0.500 0.635
As 0.500 0.500 0.000

(5)
Ce2CuAs4Pd3 | PBE-GGA | relaxed

Summary:
DFT formation energy = -743 kJ/mol of formula units
crystal system = tetragonal
total magnetization = 1.7 μB per formula unit
ρ = 8.3 g/cm³

abc: 4.419 4.419 9.905
angles: 90.00 90.00 90.00
Space group P-4m2 (No. 115)
One atom of each set of equivalent atoms:
Ce 0.000 0.500 0.250
Cu 0.000 0.000 0.500
As 0.000 0.000 0.000
As 0.000 0.500 0.629
As 0.500 0.500 0.000
Pd 0.000 0.500 0.878
Pd 0.500 0.500 0.500

(6)
Ce2CuAs3Pd4 | PBE-GGA | relaxed

Summary:
DFT formation energy = -751 kJ/mol of formula units
crystal system = tetragonal
total magnetization = 1.2 μB per formula unit
ρ = 8.7 g/cm³

abc: 4.313 4.313 10.187
angles: 90.00 90.00 90.00
Space group P-4m2 (No. 115)
One atom of each set of equivalent atoms:
Ce 0.000 0.500 0.250
Cu 0.000 0.000 0.500
As 0.000 0.500 0.863
As 0.500 0.500 0.500
Pd 0.000 0.000 0.000
Pd 0.000 0.500 0.624
Pd 0.500 0.500 0.000

(7)
CePmCuAs | PBE-GGA | relaxed

Summary:
DFT formation energy = -217 kJ/mol of formula units
crystal system = cubic
total magnetization = 1.2 μB per formula unit
ρ = 7.6 g/cm³

abc: 7.181 7.181 7.181
angles: 90.00 90.00 90.00
Space group F-43m (No. 216)
One atom of each set of equivalent atoms:
Ce 0.000 0.000 0.000
Pm 0.000 0.000 0.500
Cu 0.250 0.250 0.250
As 0.250 0.250 0.750

(8)
Ce2CuAs4Pt3 | PBE-GGA | relaxed

Summary:
DFT formation energy = -768 kJ/mol of formula units
crystal system = tetragonal
total magnetization = 1.8 μB per formula unit
ρ = 10.5 g/cm³

abc: 4.457 4.457 9.817
angles: 90.00 90.00 90.00
Space group P-4m2 (No. 115)
One atom of each set of equivalent atoms:
Ce 0.000 0.500 0.248
Cu 0.500 0.500 0.000
As 0.000 0.000 0.500
As 0.000 0.500 0.873
As 0.500 0.500 0.500
Pt 0.000 0.000 0.000
Pt 0.000 0.500 0.621